Computed, not measured: crystalline Be2Ga2Si at its relaxed geometry at the GGA-PBE level of DFT.

abc: 7.2037 7.2037 2.6213
angles: 90.00 90.00 90.00
Fractional coordinates of all 10 atoms:
Ga  0.3175  0.1825  0.5000
Ga  0.6825  0.8175  0.5000
Be  0.6127  0.1127  0.0000
Si  0.0000  0.0000  0.0000
Be  0.1127  0.3873  0.0000
Si  0.5000  0.5000  0.0000
Be  0.3873  0.8873  0.0000
Be  0.8873  0.6127  0.0000
Ga  0.8175  0.3175  0.5000
Ga  0.1825  0.6825  0.5000

Results
Relative energy among the computed polymorphs: 3 meV/atom
Energy relative to the elements, uncorrected: 0.405 eV per atom
Electronic total energy: -3.38 eV/atom
ρ: 4.53 g/cm3

Computed, not measured: crystalline Sm2Be4GaSi3 at its relaxed geometry at the GGA-PBE level of DFT.

abc: 3.9757 3.9757 9.6228
angles: 90.00 90.00 90.00
Fractional coordinates of all 10 atoms:
Si  0.0000  0.5000  0.1279
Sm  0.5000  0.0000  0.2462
Be  0.0000  0.5000  0.3646
Be  0.5000  0.5000  0.0000
Si  0.5000  0.0000  0.8721
Ga  0.5000  0.5000  0.5000
Si  0.0000  0.0000  0.5000
Be  0.5000  0.0000  0.6354
Be  0.0000  0.0000  0.0000
Sm  0.0000  0.5000  0.7538

Results
Energy relative to the elements, uncorrected: -0.388 eV per atom
Electronic total energy: -4.75 eV/atom
ρ: 5.36 g/cm3

Computed, not measured: crystalline Th2Be4GaSi3 at its relaxed geometry at the GGA-PBE level of DFT.

abc: 4.0730 4.0730 9.4000
angles: 90.00 90.00 90.00
Fractional coordinates of all 10 atoms:
Be  0.5000  0.5000  0.0000
Ga  0.5000  0.5000  0.5000
Si  0.5000  0.0000  0.8756
Be  0.0000  0.0000  0.0000
Si  0.0000  0.0000  0.5000
Be  0.0000  0.5000  0.3690
Th  0.0000  0.5000  0.7561
Si  0.0000  0.5000  0.1244
Th  0.5000  0.0000  0.2439
Be  0.5000  0.0000  0.6310

Results
Energy relative to the elements, uncorrected: -0.352 eV per atom
Electronic total energy: -5.26 eV/atom
ρ: 6.97 g/cm3

Computed, not measured: crystalline U2Be4GaSi3 at its relaxed geometry at the GGA-PBE level of DFT.

abc: 3.8868 3.8868 9.5265
angles: 90.00 90.00 90.00
Fractional coordinates of all 10 atoms:
Be  0.5000  0.5000  0.0000
U  0.5000  0.0000  0.2456
Si  0.0000  0.5000  0.1305
U  0.0000  0.5000  0.7544
Be  0.0000  0.5000  0.3636
Be  0.5000  0.0000  0.6364
Be  0.0000  0.0000  0.0000
Si  0.5000  0.0000  0.8695
Ga  0.5000  0.5000  0.5000
Si  0.0000  0.0000  0.5000

Results
Energy relative to the elements, uncorrected: -0.181 eV per atom
Electronic total energy: -5.86 eV/atom
ρ: 7.69 g/cm3

Computed, not measured: crystalline BeGaSi2W at its relaxed geometry at the GGA-PBE level of DFT.

abc: 4.7407 4.9701 4.7407
angles: 90.00 90.00 90.00
Fractional coordinates of all 5 atoms:
Ga  0.0000  0.5000  0.0000
Si  0.5000  0.0000  0.0000
W  0.0000  0.0000  0.0000
Be  0.5000  0.5000  0.5000
Si  0.0000  0.0000  0.5000

Results
Energy relative to the elements, uncorrected: 1.007 eV per atom
Electronic total energy: -5.10 eV/atom
ρ: 4.74 g/cm3

Computed, not measured: crystalline Sm2BeGa at its relaxed geometry at the GGA-PBE level of DFT.

abc: 5.0606 5.0606 5.0606
angles: 60.00 60.00 60.00
Fractional coordinates of all 4 atoms:
Ga  0.5000  0.5000  0.5000
Sm  0.7500  0.7500  0.7500
Be  0.0000  0.0000  0.0000
Sm  0.2500  0.2500  0.2500

Results
Relative energy among the computed polymorphs: 13 meV/atom
Electronic total energy: -4.23 eV/atom
ρ: 6.88 g/cm3
DFT formation energy: -0.19 eV per atom

Computed, not measured: crystalline Sm2BeGa3 at its relaxed geometry at the GGA-PBE level of DFT.

abc: 4.1433 4.1860 7.2404
angles: 90.00 90.00 90.00
Fractional coordinates of all 6 atoms:
Sm  0.0000  0.5000  0.0037
Ga  0.5000  0.0000  0.1839
Ga  0.5000  0.5000  0.6486
Sm  0.0000  0.0000  0.4983
Ga  0.5000  0.0000  0.8363
Be  0.5000  0.5000  0.3293

Results
Relative energy among the computed polymorphs: 5 meV/atom
Electronic total energy: -4.24 eV/atom
ρ: 6.86 g/cm3
DFT formation energy: -0.53 eV per atom

Computed, not measured: crystalline SmBe2Ga2 at its relaxed geometry at the GGA-PBE level of DFT.

abc: 4.0069 4.0069 9.8974
angles: 90.00 90.00 90.00
Fractional coordinates of all 10 atoms:
Ga  0.0000  0.0000  0.5000
Be  0.5000  0.5000  0.0000
Sm  0.5000  0.0000  0.2452
Ga  0.5000  0.5000  0.5000
Be  0.5000  0.0000  0.6376
Ga  0.5000  0.0000  0.8723
Ga  0.0000  0.5000  0.1277
Be  0.0000  0.5000  0.3624
Be  0.0000  0.0000  0.0000
Sm  0.0000  0.5000  0.7548

Results
Electronic total energy: -4.03 eV/atom
ρ: 6.43 g/cm3
DFT formation energy: -0.38 eV per atom